Arrangement i

# Na2LiAu | Alexandria via LeMat-Bulk | PBE | optimized geometry
# total moment: 0.000 μB/atom
# V: 23.97 Å³ per atom
# theoretical density: 4.33 g/cm3
data_Na2LiAu
_chemical_formula_sum 'Na2 Li1 Au1'
_cell_length_a 3.773
_cell_length_b 3.773
_cell_length_c 6.737
_cell_angle_alpha 90.00
_cell_angle_beta 90.00
_cell_angle_gamma 90.00
_symmetry_space_group_name_H-M 'P 4/m m m'
_symmetry_Int_Tables_number 123
_symmetry_space_group_name_Hall '-P 4 2'
loop_
_atom_site_label
_atom_site_fract_x
_atom_site_fract_y
_atom_site_fract_z
_atom_site_occupancy
Na1 0.000 0.000 0.227 1
Li1 0.500 0.500 0.500 1
Au1 0.500 0.500 0.000 1

---

Arrangement ii

# Na2LiAu | Alexandria via LeMat-Bulk | PBE | optimized geometry
# total moment: 0.000 μB/atom
# V: 23.38 Å³ per atom
# theoretical density: 4.44 g/cm3
data_Na2LiAu
_chemical_formula_sum 'Na6 Li3 Au3'
_cell_length_a 4.7219
_cell_length_b 4.7219
_cell_length_c 14.5322
_cell_angle_alpha 90.00
_cell_angle_beta 90.00
_cell_angle_gamma 120.00
_symmetry_space_group_name_H-M 'R 3 m'
_symmetry_Int_Tables_number 160
_symmetry_space_group_name_Hall 'R 3 -2"'
loop_
_atom_site_label
_atom_site_fract_x
_atom_site_fract_y
_atom_site_fract_z
_atom_site_occupancy
Na1 0.0000 0.0000 0.0000 1
Na2 0.0000 0.0000 0.2225 1
Li1 0.0000 0.0000 0.7643 1
Au1 0.0000 0.0000 0.4443 1

---

Arrangement iii

# Na2LiAu | Alexandria via LeMat-Bulk | PBE | optimized geometry
# total moment: 0.000 μB/atom
# V: 24.90 Å³ per atom
# theoretical density: 4.17 g/cm3
data_Na2LiAu
_chemical_formula_sum 'Na8 Li4 Au4'
_cell_length_a 8.317
_cell_length_b 8.317
_cell_length_c 5.760
_cell_angle_alpha 90.00
_cell_angle_beta 90.00
_cell_angle_gamma 90.00
_symmetry_space_group_name_H-M 'I -4 2 d'
_symmetry_Int_Tables_number 122
_symmetry_space_group_name_Hall 'I -4 2bw'
loop_
_atom_site_label
_atom_site_fract_x
_atom_site_fract_y
_atom_site_fract_z
_atom_site_occupancy
Na1 0.226 0.250 0.125 1
Li1 0.000 0.000 0.500 1
Au1 0.000 0.000 0.000 1

---

Arrangement iv

# Na2LiAu | Alexandria via LeMat-Bulk | PBE | optimized geometry
# total moment: 0.000 μB/atom
# V: 21.84 Å³ per atom
# theoretical density: 4.75 g/cm3
data_Na2LiAu
_chemical_formula_sum 'Na8 Li4 Au4'
_cell_length_a 6.676
_cell_length_b 6.619
_cell_length_c 8.574
_cell_angle_alpha 90.00
_cell_angle_beta 112.72
_cell_angle_gamma 90.00
_symmetry_space_group_name_H-M 'C 1 2/m 1'
_symmetry_Int_Tables_number 12
loop_
_symmetry_equiv_pos_as_xyz
'x,y,z'
'-x,-y,-z'
'-x,y,-z'
'x,-y,z'
'x+1/2,y+1/2,z'
'-x+1/2,-y+1/2,-z'
'-x+1/2,y+1/2,-z'
'x+1/2,-y+1/2,z'
loop_
_atom_site_label
_atom_site_fract_x
_atom_site_fract_y
_atom_site_fract_z
_atom_site_occupancy
Na1 0.143 0.000 0.287 1
Na2 0.250 0.250 0.000 1
Li1 0.000 0.250 0.500 1
Au1 0.153 0.500 0.306 1

---

Quick look at relative energies in kJ/mol of atoms: arrangement i 9.6; arrangement ii 1.3; arrangement iii 16.4; arrangement iv 0.0.

---

Arrangement i

# NaLiAu3 | Alexandria via LeMat-Bulk | PBE | optimized geometry
# total moment: 0.000 μB/atom
# V: 20.38 Å³ per atom
# theoretical density: 10.12 g/cm3
data_NaLiAu3
_chemical_formula_sum 'Na2 Li2 Au6'
_cell_length_a 4.000
_cell_length_b 4.000
_cell_length_c 12.737
_cell_angle_alpha 90.00
_cell_angle_beta 90.00
_cell_angle_gamma 90.00
_symmetry_space_group_name_H-M 'I 4 m m'
_symmetry_Int_Tables_number 107
_symmetry_space_group_name_Hall 'I 4 -2'
loop_
_atom_site_label
_atom_site_fract_x
_atom_site_fract_y
_atom_site_fract_z
_atom_site_occupancy
Na1 0.000 0.000 0.000 1
Li1 0.000 0.000 0.618 1
Au1 0.000 0.000 0.419 1
Au2 0.000 0.500 0.252 1

---

Arrangement ii

# NaLiAu3 | Alexandria via LeMat-Bulk | PBE | optimized geometry
# total moment: 0.000 μB/atom
# V: 20.35 Å³ per atom
# theoretical density: 10.13 g/cm3
data_NaLiAu3
_chemical_formula_sum 'Na1 Li1 Au3'
_cell_length_a 4.669
_cell_length_b 4.669
_cell_length_c 4.669
_cell_angle_alpha 90.00
_cell_angle_beta 90.00
_cell_angle_gamma 90.00
_symmetry_space_group_name_H-M 'P m -3 m'
_symmetry_Int_Tables_number 221
_symmetry_space_group_name_Hall '-P 4 2 3'
loop_
_atom_site_label
_atom_site_fract_x
_atom_site_fract_y
_atom_site_fract_z
_atom_site_occupancy
Na1 0.000 0.000 0.000 1
Li1 0.500 0.500 0.500 1
Au1 0.000 0.500 0.500 1

---

Arrangement iii

# NaLiAu3 | Alexandria via LeMat-Bulk | PBE | optimized geometry
# total moment: 0.000 μB/atom
# V: 26.63 Å³ per atom
# theoretical density: 7.74 g/cm3
data_NaLiAu3
_chemical_formula_sum 'Na1 Li1 Au3'
_cell_length_a 5.106
_cell_length_b 5.106
_cell_length_c 5.106
_cell_angle_alpha 90.00
_cell_angle_beta 90.00
_cell_angle_gamma 90.00
_symmetry_space_group_name_H-M 'P m -3 m'
_symmetry_Int_Tables_number 221
_symmetry_space_group_name_Hall '-P 4 2 3'
loop_
_atom_site_label
_atom_site_fract_x
_atom_site_fract_y
_atom_site_fract_z
_atom_site_occupancy
Na1 0.000 0.000 0.000 1
Li1 0.500 0.500 0.500 1
Au1 0.000 0.000 0.500 1

---

Quick look at relative energies in kJ/mol of atoms: arrangement i 0.0; arrangement ii 21.0; arrangement iii 69.6.

---

Arrangement i

# NaLi2Au | Alexandria via LeMat-Bulk | PBE | optimized geometry
# total moment: 0.000 μB/atom
# V: 22.11 Å³ per atom
# theoretical density: 4.39 g/cm3
data_NaLi2Au
_chemical_formula_sum 'Na2 Li4 Au2'
_cell_length_a 2.868
_cell_length_b 5.296
_cell_length_c 11.642
_cell_angle_alpha 90.00
_cell_angle_beta 90.00
_cell_angle_gamma 90.00
_symmetry_space_group_name_H-M 'I m m m'
_symmetry_Int_Tables_number 71
_symmetry_space_group_name_Hall '-I 2 2'
loop_
_atom_site_label
_atom_site_fract_x
_atom_site_fract_y
_atom_site_fract_z
_atom_site_occupancy
Na1 0.000 0.000 0.000 1
Li1 0.000 0.000 0.285 1
Au1 0.000 0.000 0.500 1

---

Arrangement ii

# NaLi2Au | Alexandria via LeMat-Bulk | PBE | optimized geometry
# total moment: 0.000 μB/atom
# V: 21.78 Å³ per atom
# theoretical density: 4.46 g/cm3
data_NaLi2Au
_chemical_formula_sum 'Na3 Li6 Au3'
_cell_length_a 4.5121
_cell_length_b 4.5121
_cell_length_c 14.8267
_cell_angle_alpha 90.00
_cell_angle_beta 90.00
_cell_angle_gamma 120.00
_symmetry_space_group_name_H-M 'R 3 m'
_symmetry_Int_Tables_number 160
_symmetry_space_group_name_Hall 'R 3 -2"'
loop_
_atom_site_label
_atom_site_fract_x
_atom_site_fract_y
_atom_site_fract_z
_atom_site_occupancy
Na1 0.0000 0.0000 0.0000 1
Li1 0.0000 0.0000 0.5342 1
Li2 0.0000 0.0000 0.7939 1
Au1 0.0000 0.0000 0.2031 1

---

Quick look at relative energies in kJ/mol of atoms: arrangement i 16.1; arrangement ii 0.0.